This record from the Alexandria database describes a relaxed Sc5Si crystal. The functional is PBE.

Structure (extended XYZ):
```
6
Lattice="4.8331 0.0000 0.0000 0.0000 1.6656 8.0925 0.0000 -1.6656 8.0925" Properties=species:S:1:pos:R:3 pbc="T T T"
Sc 0.0000 0.0000 0.0000
Sc 0.0000 0.0000 5.1376
Sc 0.0000 0.0000 10.5333
Sc 2.4165 0.0000 3.2037
Sc 2.4165 0.0000 14.2140
Si 2.4165 0.0000 8.8099
```

Results
- Formation energy from raw total energies: -0.163 eV/atom
- Energy above the most stable polymorph in this dataset: 31 kJ/mol of formula units

This record from the Alexandria database describes a relaxed ScSi2 crystal. The functional is PBE.

Structure (extended XYZ):
```
3
Lattice="3.0595 0.0000 0.0000 -1.5298 2.6496 0.0000 0.0000 0.0000 6.3727" Properties=species:S:1:pos:R:3 pbc="T T T"
Sc 0.0000 0.0000 0.0000
Si 0.0000 1.7664 2.2436
Si 1.5298 0.8832 4.1291
```

Results
- Formation energy from raw total energies: 0.047 eV/atom

This record from the Alexandria database describes a relaxed Sm3ScSi2 crystal. The functional is PBE.

Structure (extended XYZ):
```
6
Lattice="-2.1307 2.2272 7.9873 2.1307 -2.2272 7.9873 2.1307 2.2272 -7.9873" Properties=species:S:1:pos:R:3 pbc="T T T"
Sm 0.0000 0.0000 0.0000
Sm 2.1307 0.0000 2.8738
Sm 0.0000 2.2272 5.1135
Sc 0.0000 0.0000 7.9873
Si 2.1307 0.0000 5.9034
Si 0.0000 2.2272 2.0839
```

Results
- Formation energy from raw total energies: -0.541 eV/atom

This record from the Alexandria database describes a relaxed SmScSi3 crystal. The functional is PBE.

Structure (extended XYZ):
```
10
Lattice="2.0415 -12.0637 0.0000 2.0415 12.0637 0.0000 0.0000 0.0000 3.8871" Properties=species:S:1:pos:R:3 pbc="T T T"
Sm 2.0415 10.3053 2.9153
Sm 2.0415 -10.3053 0.9718
Sc 2.0415 7.1508 0.9718
Sc 2.0415 -7.1508 2.9153
Si 2.0415 4.4297 0.9718
Si 2.0415 2.9977 2.9153
Si 2.0415 0.6393 2.9153
Si 2.0415 -0.6393 0.9718
Si 2.0415 -2.9977 0.9718
Si 2.0415 -4.4297 2.9153
```

Results
- Formation energy from raw total energies: -0.679 eV/atom

This record from the Alexandria database describes a relaxed SmScSi crystal. The functional is PBE.

Structure (extended XYZ):
```
6
Lattice="4.2694 0.0000 0.0000 0.0000 4.2694 0.0000 0.0000 0.0000 7.8089" Properties=species:S:1:pos:R:3 pbc="T T T"
Sm 1.0674 1.0674 1.1329
Sm 3.2021 3.2021 6.6761
Sc 1.0674 3.2021 3.9045
Sc 3.2021 1.0674 3.9045
Si 1.0674 1.0674 5.7969
Si 3.2021 3.2021 2.0120
```

Results
- Formation energy from raw total energies: -0.612 eV/atom
- Energy above the most stable polymorph in this dataset: 6 kJ/mol of formula units

This record from the Alexandria database describes a relaxed SmScSi crystal. The functional is PBE.

Structure (extended XYZ):
```
6
Lattice="-2.1300 2.1300 7.8502 2.1300 -2.1300 7.8502 2.1300 2.1300 -7.8502" Properties=species:S:1:pos:R:3 pbc="T T T"
Sm 0.0000 0.0000 2.7780
Sm 0.0000 0.0000 12.9224
Sc 2.1300 0.0000 0.0000
Sc 0.0000 2.1300 0.0000
Si 0.0000 0.0000 5.9034
Si 0.0000 0.0000 9.7970
```

Results
- Formation energy from raw total energies: -0.633 eV/atom
- Energy above the most stable polymorph in this dataset: 0 kJ/mol of formula units

This record from the Alexandria database describes a relaxed Sm3ScSi4 crystal. The functional is PBE.

Structure (extended XYZ):
```
8
Lattice="-2.0993 3.0264 7.7850 2.0993 -3.0264 7.7850 2.0993 3.0264 -7.7850" Properties=species:S:1:pos:R:3 pbc="T T T"
Sm 0.0000 0.0000 0.0000
Sm 2.0993 0.0000 4.7706
Sm 0.0000 3.0264 3.0145
Sc 0.0000 0.0000 7.7850
Si 2.0993 1.1647 -1.9786
Si 2.0993 1.1647 1.9786
Si 0.0000 1.8617 5.8064
Si 0.0000 1.8617 9.7636
```

Results
- Formation energy from raw total energies: -0.590 eV/atom

This record from the Alexandria database describes a relaxed Sm5Sc4Si4 crystal. The functional is PBE.

Structure (extended XYZ):
```
13
Lattice="-6.0984 6.0984 2.1263 6.0984 -6.0984 2.1263 6.0984 6.0984 -2.1263" Properties=species:S:1:pos:R:3 pbc="T T T"
Sm 0.0000 0.0000 0.0000
Sm 4.5474 3.6376 0.0000
Sm 2.4608 -1.5510 2.1263
Sm 3.6376 7.6495 0.0000
Sm 1.5510 2.4608 2.1263
Sc 7.1848 1.2362 0.0000
Sc 1.2362 5.0121 0.0000
Sc 4.8622 1.0864 2.1263
Sc -1.0864 4.8622 2.1263
Si 3.0219 0.8117 0.0000
Si 5.2867 -3.0765 2.1263
Si 0.8117 9.1749 0.0000
Si 3.0765 5.2867 2.1263
```

Results
- Formation energy from raw total energies: -0.524 eV/atom